Compound: Ce2ErIn2
Source: the Alexandria database
Functional: GGA-PBE
Structure: optimized geometry

It has space group C2/m (No. 12), with a = 10.862 Å, b = 4.905 Å, c = 10.527 Å, α = 90.00°, β = 95.95° and γ = 90.00°. Symmetry generates all atoms from Ce at (0.063, 0.000, 0.390), Ce at (0.124, 0.000, 0.047), Er at (0.239, 0.000, 0.739), In at (0.052, 0.500, 0.841) and In at (0.137, 0.500, 0.570).

The formation energy is -0.26 eV per atom.